No. 1
# Tl2CoAgBr6

A geometry-optimized Tl2CoAgBr6 structure (PBE, Alexandria via LeMat-Bulk).

Cell: 7.173 7.259 10.902 Å, 90.00 88.93 90.00°
Each line ends with the local moment (μB).
Sites, in units of the cell vectors:
Tl (0.015, 0.945, 0.249)  0.00
Tl (0.515, 0.555, 0.749)  0.00
Tl (0.985, 0.055, 0.751)  0.00
Tl (0.485, 0.445, 0.251)  0.00
Co (0.500, 0.000, 0.500)  0.07
Co (0.000, 0.500, 0.000)  0.07
Ag (0.500, 0.000, 0.000)  0.00
Ag (0.000, 0.500, 0.500)  0.00
Br (0.285, 0.682, 0.026)  0.00
Br (0.785, 0.818, 0.526)  0.00
Br (0.715, 0.318, 0.974)  0.00
Br (0.215, 0.182, 0.474)  0.00
Br (0.319, 0.714, 0.485)  0.00
Br (0.819, 0.786, 0.985)  0.00
Br (0.681, 0.286, 0.515)  0.00
Br (0.181, 0.214, 0.015)  0.00
Br (0.952, 0.489, 0.223)  0.00
Br (0.452, 0.011, 0.723)  0.00
Br (0.048, 0.511, 0.777)  0.00
Br (0.548, 0.989, 0.277)  0.00

* DFT total energy: -2.9637 eV per atom
* magnetization: 0.151 μB per cell
* ΔE_f (raw): -4.910 eV per formula unit
* symmetry: P2_1/c (14)

No. 2
# TlCo2AgBr6

A geometry-optimized TlCo2AgBr6 structure (PBE, Alexandria via LeMat-Bulk).

Cell: 9.339 9.339 7.459 Å, 102.53 102.53 83.59°
Each line ends with the local moment (μB).
Sites, in units of the cell vectors:
Tl (0.197, 0.803, 0.250)  0.01
Tl (0.803, 0.197, 0.750)  0.01
Co (0.299, 0.124, 0.765)  2.37
Co (0.876, 0.701, 0.735)  2.37
Co (0.701, 0.876, 0.235)  2.37
Co (0.124, 0.299, 0.265)  2.37
Ag (0.603, 0.397, 0.250)  0.04
Ag (0.397, 0.603, 0.750)  0.04
Br (0.887, 0.410, 0.166)  0.11
Br (0.590, 0.113, 0.334)  0.11
Br (0.113, 0.590, 0.834)  0.11
Br (0.410, 0.887, 0.666)  0.11
Br (0.181, 0.100, 0.017)  0.15
Br (0.900, 0.819, 0.483)  0.15
Br (0.819, 0.900, 0.983)  0.15
Br (0.100, 0.181, 0.517)  0.15
Br (0.307, 0.473, 0.364)  0.10
Br (0.527, 0.693, 0.136)  0.10
Br (0.693, 0.527, 0.636)  0.10
Br (0.473, 0.307, 0.864)  0.10

* DFT total energy: -3.3490 eV per atom
* magnetization: 12.001 μB per cell
* ΔE_f (raw): -4.024 eV per formula unit
* symmetry: C2/c (15)

No. 3
# Tl3CoAg3Br8

A geometry-optimized Tl3CoAg3Br8 structure (PBE, Alexandria via LeMat-Bulk).

Cell: 8.436 8.448 9.035 Å, 117.88 90.00 119.95°
Each line ends with the local moment (μB).
Sites, in units of the cell vectors:
Tl (0.000, 0.000, 0.000)  0.00
Tl (0.000, 0.500, 0.000)  0.00
Tl (0.500, 0.500, 0.000)  0.00
Co (0.000, 0.000, 0.500)  2.45
Ag (0.500, 0.000, 0.500)  0.01
Ag (0.500, 0.500, 0.500)  0.01
Ag (0.000, 0.500, 0.500)  0.01
Br (0.265, 0.531, 0.297)  0.01
Br (0.735, 0.469, 0.703)  0.01
Br (0.786, 0.571, 0.310)  0.06
Br (0.214, 0.429, 0.690)  0.06
Br (0.785, 0.024, 0.309)  0.06
Br (0.215, 0.976, 0.691)  0.06
Br (0.239, 0.024, 0.309)  0.06
Br (0.761, 0.976, 0.691)  0.06

* DFT total energy: -2.9027 eV per atom
* magnetization: 3.010 μB per cell
* ΔE_f (raw): -7.398 eV per formula unit
* symmetry: C2/m (12)

No. 4
# Cr2AgBr

A geometry-optimized Cr2AgBr structure (PBE, Alexandria via LeMat-Bulk).

Cell: 3.337 3.337 6.823 Å, 90.00 90.00 90.00°
Each line ends with the local moment (μB).
Sites, in units of the cell vectors:
Ag (0.000, 0.000, 0.446)  0.06
Br (0.500, 0.500, 0.803)  -0.01
Cr (0.000, 0.000, 0.045)  -3.32
Cr (0.500, 0.500, 0.206)  3.18

* DFT total energy: -5.6183 eV per atom
* offset from the most stable computed form: 0.051 eV/f.u.
* magnetization: 0.024 μB per cell
* ΔE_f (raw): 1.298 eV per formula unit
* symmetry: P4mm (99)

No. 5
# CrAgBr

A geometry-optimized CrAgBr structure (PBE, Alexandria via LeMat-Bulk).

Cell: 6.574 6.574 6.574 Å, 151.29 151.29 41.05°
Each line ends with the local moment (μB).
Sites, in units of the cell vectors:
Ag (0.027, 0.027, 0.000)  0.04
Br (0.301, 0.301, 0.000)  -0.02
Cr (0.672, 0.672, 0.000)  3.78

* DFT total energy: -4.4364 eV per atom
* offset from the most stable computed form: 0.233 eV/f.u.
* magnetization: 4.223 μB per cell
* ΔE_f (raw): 0.838 eV per formula unit
* symmetry: I4mm (107)

No. 6
# CrAg2Br6

A geometry-optimized CrAg2Br6 structure (PBE, Alexandria via LeMat-Bulk).

Cell: 6.702 7.099 10.983 Å, 90.00 95.08 90.00°
Each line ends with the local moment (μB).
Sites, in units of the cell vectors:
Cr (0.500, 0.500, 0.000)  2.91
Cr (0.000, 0.000, 0.500)  2.91
Ag (0.996, 0.637, 0.838)  -0.02
Ag (0.504, 0.137, 0.662)  -0.02
Ag (0.496, 0.863, 0.338)  -0.02
Ag (0.004, 0.363, 0.162)  -0.02
Br (0.141, 0.051, 0.291)  -0.06
Br (0.161, 0.300, 0.578)  -0.04
Br (0.194, 0.316, 0.928)  -0.03
Br (0.306, 0.816, 0.572)  -0.03
Br (0.339, 0.800, 0.922)  -0.04
Br (0.359, 0.551, 0.209)  -0.06
Br (0.859, 0.949, 0.709)  -0.06
Br (0.839, 0.700, 0.422)  -0.04
Br (0.806, 0.684, 0.072)  -0.03
Br (0.694, 0.184, 0.428)  -0.03
Br (0.661, 0.200, 0.078)  -0.04
Br (0.641, 0.449, 0.791)  -0.06

* DFT total energy: -3.2775 eV per atom
* offset from the most stable computed form: 0.000 eV/f.u.
* magnetization: 5.639 μB per cell
* ΔE_f (raw): -4.134 eV per formula unit
* symmetry: P2_1/c (14)

No. 7
# Cr2AgBr

A geometry-optimized Cr2AgBr structure (PBE, Alexandria via LeMat-Bulk).

Cell: 3.362 3.361 6.977 Å, 90.00 90.00 90.00°
Each line ends with the local moment (μB).
Sites, in units of the cell vectors:
Ag (0.500, 0.500, 0.250)  0.10
Br (0.500, 0.500, 0.750)  0.02
Cr (0.000, 0.000, 0.021)  3.96
Cr (0.000, 0.000, 0.479)  3.96

* DFT total energy: -5.4092 eV per atom
* offset from the most stable computed form: 0.887 eV/f.u.
* magnetization: 9.053 μB per cell
* ΔE_f (raw): 2.134 eV per formula unit
* symmetry: P4/mmm (123)

No. 8
# Cr2AgBr

A geometry-optimized Cr2AgBr structure (PBE, Alexandria via LeMat-Bulk).

Cell: 6.090 6.090 6.090 Å, 142.41 142.41 54.22°
Each line ends with the local moment (μB).
Sites, in units of the cell vectors:
Ag (0.500, 0.500, 0.000)  0.09
Br (0.750, 0.250, 0.500)  0.04
Cr (0.000, 0.000, 0.000)  3.97
Cr (0.250, 0.750, 0.500)  4.03

* DFT total energy: -5.2100 eV per atom
* offset from the most stable computed form: 1.684 eV/f.u.
* magnetization: 9.302 μB per cell
* ΔE_f (raw): 2.931 eV per formula unit
* symmetry: I-4m2 (119)

No. 9
# Cr2AgBr

A geometry-optimized Cr2AgBr structure (PBE, Alexandria via LeMat-Bulk).

Cell: 4.919 4.919 4.919 Å, 60.00 60.00 60.00°
Each line ends with the local moment (μB).
Sites, in units of the cell vectors:
Ag (0.500, 0.500, 0.500)  0.03
Br (0.250, 0.250, 0.250)  0.07
Cr (0.000, 0.000, 0.000)  4.08
Cr (0.750, 0.750, 0.750)  4.10

* DFT total energy: -5.0175 eV per atom
* offset from the most stable computed form: 2.454 eV/f.u.
* magnetization: 9.531 μB per cell
* ΔE_f (raw): 3.701 eV per formula unit
* symmetry: F-43m (216)

No. 10
# Cr2AgBr

A geometry-optimized Cr2AgBr structure (PBE, Alexandria via LeMat-Bulk).

Cell: 8.345 8.345 8.345 Å, 23.43 23.43 23.43°
Each line ends with the local moment (μB).
Sites, in units of the cell vectors:
Ag (0.250, 0.250, 0.250)  0.08
Br (0.750, 0.750, 0.750)  0.01
Cr (0.000, 0.000, 0.000)  3.87
Cr (0.500, 0.500, 0.500)  3.87

* DFT total energy: -5.3936 eV per atom
* offset from the most stable computed form: 0.950 eV/f.u.
* magnetization: 8.801 μB per cell
* ΔE_f (raw): 2.196 eV per formula unit
* symmetry: R-3m (166)

No. 11
# Cr2AgBr

A geometry-optimized Cr2AgBr structure (PBE, Alexandria via LeMat-Bulk).

Cell: 6.080 6.080 7.671 Å, 66.65 66.65 90.00°
Each line ends with the local moment (μB).
Sites, in units of the cell vectors:
Cr (0.618, 0.125, 0.250)  4.16
Cr (0.132, 0.625, 0.250)  4.14
Cr (0.375, 0.382, 0.750)  4.10
Cr (0.875, 0.868, 0.750)  4.18
Br (0.500, 0.500, 0.000)  0.00
Br (0.250, 0.750, 0.500)  0.00
Ag (0.000, 0.000, 0.000)  0.11
Ag (0.750, 0.250, 0.500)  0.11

* DFT total energy: -5.0866 eV per atom
* offset from the most stable computed form: 2.178 eV/f.u.
* magnetization: 19.906 μB per cell
* ΔE_f (raw): 3.424 eV per formula unit
* symmetry: I-42d (122)

No. 12
# Cr2AgBr

A geometry-optimized Cr2AgBr structure (PBE, Alexandria via LeMat-Bulk).

Cell: 3.191 3.333 7.257 Å, 77.06 90.00 90.00°
Each line ends with the local moment (μB).
Sites, in units of the cell vectors:
Ag (0.000, 0.586, 0.459)  0.05
Br (0.500, 0.931, 0.764)  0.02
Cr (0.000, 0.782, 0.057)  -2.92
Cr (0.500, 0.202, 0.219)  3.08

* DFT total energy: -5.6310 eV per atom
* offset from the most stable computed form: 0.000 eV/f.u.
* magnetization: 0.264 μB per cell
* ΔE_f (raw): 1.247 eV per formula unit
* symmetry: Pm (6)

No. 13
# CrAgBr

A geometry-optimized CrAgBr structure (PBE, Alexandria via LeMat-Bulk).

Cell: 6.896 6.639 3.317 Å, 80.16 71.55 28.29°
Each line ends with the local moment (μB).
Sites, in units of the cell vectors:
Ag (0.022, 0.022, 0.978)  0.03
Br (0.306, 0.306, 0.694)  0.00
Cr (0.672, 0.672, 0.328)  3.73

* DFT total energy: -4.4450 eV per atom
* offset from the most stable computed form: 0.208 eV/f.u.
* magnetization: 4.171 μB per cell
* ΔE_f (raw): 0.813 eV per formula unit
* symmetry: Fmm2 (42)